Entry 1:
Below is Mg4ZnRh after structural relaxation, with properties calculated at the PBE level.

Summary:
* crystal system: monoclinic
* formation enthalpy at 0 K: -202 meV per atom

Unit cell a=7.934 b=11.930 c=5.585 alpha=90.00 beta=113.29 gamma=90.00
Space group C2/c (No. 15)
Asymmetric unit:
1 Mg 0.109 0.177 0.063
2 Mg 0.212 0.423 0.339
3 Zn 0.000 0.374 0.750
4 Rh 0.000 0.003 0.250

Entry 2:
Below is TlZnBiSb after structural relaxation, with properties calculated at the PBE level.

Summary:
* raw total energy: -2.73 eV/atom
* crystal system: cubic

Unit cell a=7.668 b=7.668 c=7.668 alpha=90.00 beta=90.00 gamma=90.00
Space group F-43m (No. 216)
Asymmetric unit:
1 Tl 0.000 0.000 0.000
2 Zn 0.250 0.250 0.250
3 Bi 0.000 0.000 0.500
4 Sb 0.250 0.250 0.750

Entry 3:
Below is Zr6OsRh3 after structural relaxation, with properties calculated at the PBE level.

Summary:
* crystal system: monoclinic
* formation enthalpy at 0 K: -539 meV per atom

Unit cell a=8.118 b=4.749 c=10.045 alpha=90.00 beta=106.25 gamma=90.00
Space group P2_1/m (No. 11)
Asymmetric unit:
1 Zr 0.042 0.250 0.401
2 Zr 0.144 0.750 0.192
3 Zr 0.255 0.250 0.996
4 Zr 0.348 0.250 0.300
5 Zr 0.349 0.750 0.806
6 Zr 0.442 0.250 0.607
7 Os 0.450 0.750 0.100
8 Rh 0.052 0.750 0.898
9 Rh 0.147 0.250 0.699
10 Rh 0.247 0.750 0.494

Entry 4:
Below is Ac2UFe2N6 after structural relaxation, with properties calculated at the PBE level.

Summary:
* raw total energy: -8.62 eV/atom
* crystal system: trigonal

Unit cell a=5.9240 b=5.9240 c=16.4664 alpha=90.00 beta=90.00 gamma=120.00
Space group R-3m (No. 166, hexagonal axes)
Asymmetric unit:
1 Ac 0.0000 0.0000 0.2243
2 U 0.0000 0.0000 0.0000
3 Fe 0.0000 0.0000 0.4353
4 N 0.0056 0.5028 0.7490

Entry 5:
Below is Y4TcIr after structural relaxation, with properties calculated at the PBE level.

Summary:
* crystal system: cubic
* formation enthalpy at 0 K: 934 meV per atom

Unit cell a=8.279 b=8.279 c=8.279 alpha=90.00 beta=90.00 gamma=90.00
Space group F-43m (No. 216)
Asymmetric unit:
1 Y 0.125 0.125 0.125
2 Tc 0.000 0.000 0.500
3 Ir 0.250 0.250 0.750

Entry 6:
Below is MoBr after structural relaxation, with properties calculated at the PBE level.

Summary:
* raw total energy: -6.02 eV/atom
* crystal system: tetragonal

Unit cell a=11.475 b=11.475 c=3.338 alpha=90.00 beta=90.00 gamma=90.00
Space group I4/m (No. 87)
Asymmetric unit:
1 Mo 0.191 0.707 0.000
2 Br 0.003 0.770 0.500

Number 1: N(E_F) 10.2 states/eV/cell. Number 2: N(E_F) 10.2 states/eV/cell. Number 3: N(E_F) 18.5 states/eV/cell. Number 4: N(E_F) 19.9 states/eV/cell. Number 5: N(E_F) 33.9 states/eV/cell. Number 6: N(E_F) 0.8 states/eV/cell.